Compound: LaUTl2O6
Source: the Alexandria database
Functional: PBE
Structure: optimized geometry

Calculated values
- total moment (μB/atom) = 0.000
- E_tot (eV/cell) = -73.72
- space-group type = C2/m (12)

a b c (Å): 6.2197 6.2197 6.2369
angles (deg): 119.45 119.45 61.02
Element x y z (fractional)
1 La 0.0000 0.0000 0.0000
2 U 0.5000 0.5000 0.5000
3 Tl 0.2501 0.2501 0.7344
4 Tl 0.7499 0.7499 0.2656
5 O 0.2194 0.6864 0.6843
6 O 0.2711 0.2711 0.1898
7 O 0.3136 0.7806 0.3157
8 O 0.6864 0.2194 0.6843
9 O 0.7289 0.7289 0.8102
10 O 0.7806 0.3136 0.3157

---

Compound: LaUTlO6
Source: the Alexandria database
Functional: PBE
Structure: optimized geometry

Calculated values
- total moment (μB/atom) = 0.000
- E_tot (eV/cell) = -141.80
- space-group type = P-31c (163)

a b c (Å): 5.7021 5.7021 10.4740
angles (deg): 90.00 90.00 120.00
Element x y z (fractional)
1 La 0.0000 0.0000 0.0000
2 La 0.0000 0.0000 0.5000
3 U 0.3333 0.6667 0.2500
4 U 0.6667 0.3333 0.7500
5 Tl 0.3333 0.6667 0.7500
6 Tl 0.6667 0.3333 0.2500
7 O 0.0269 0.3620 0.1368
8 O 0.0269 0.6649 0.3632
9 O 0.3351 0.3620 0.3632
10 O 0.3351 0.9731 0.1368
11 O 0.3620 0.0269 0.6368
12 O 0.3620 0.3351 0.8632
13 O 0.6380 0.6649 0.1368
14 O 0.6380 0.9731 0.3632
15 O 0.6649 0.0269 0.8632
16 O 0.6649 0.6380 0.6368
17 O 0.9731 0.3351 0.6368
18 O 0.9731 0.6380 0.8632